Below is a relaxed La2MgSi4Rh3 crystal, with properties calculated at the GGA-PBE level.

## Properties
Magnetic moment (μB/atom): 0.0000
VASP energy (eV per atom): -6.385
Theoretical density (g/cm3): 6.460

Unit cell a=4.253 b=4.253 c=10.276 alpha=90.00 beta=90.00 gamma=90.00
Fractional positions:
La: 0.000 0.500 0.238
La: 0.500 0.000 0.762
Mg: 0.000 0.000 0.500
Si: 0.000 0.000 0.000
Si: 0.000 0.500 0.646
Si: 0.500 0.000 0.354
Si: 0.500 0.500 0.000
Rh: 0.000 0.500 0.883
Rh: 0.500 0.000 0.117
Rh: 0.500 0.500 0.500